Entry 1:
VASP calculation (GGA-PBE) on ZrIrPt2 after structural relaxation.

Unit cell a=3.002 b=3.889 c=5.719 alpha=90.00 beta=90.00 gamma=90.00
Element x y z (fractional)
Ir (0.500, 0.500, 0.757)
Pt (0.000, 0.000, 0.997)
Pt (0.500, 0.500, 0.241)
Zr (0.000, 0.000, 0.505)

Calculated values
SG	Pmm2
energy	-0.2929	Ha/atom



Entry 2:
VASP calculation (GGA-PBE) on Zr2Ir3Pt3 after structural relaxation.

Unit cell a=4.053 b=4.016 c=7.947 alpha=90.00 beta=90.00 gamma=90.00
Element x y z (fractional)
Zr (0.000, 0.000, 0.747)
Zr (0.000, 0.000, 0.253)
Ir (0.500, 0.000, 0.500)
Ir (0.000, 0.500, 0.000)
Ir (0.000, 0.500, 0.500)
Pt (0.500, 0.500, 0.748)
Pt (0.500, 0.500, 0.252)
Pt (0.500, 0.000, 0.000)

Calculated values
SG	Pmmm
energy	-0.3154	Ha/atom



Entry 3:
VASP calculation (GGA-PBE) on ZrIrPt2 after structural relaxation.

Unit cell a=5.008 b=5.008 c=3.991 alpha=66.52 beta=66.52 gamma=46.96
Element x y z (fractional)
Ir (0.250, 0.250, 0.250)
Pt (0.000, 0.000, 0.000)
Pt (0.500, 0.500, 0.500)
Zr (0.750, 0.750, 0.750)

Calculated values
SG	I4/mmm
energy	-0.2992	Ha/atom



Entry 4:
VASP calculation (GGA-PBE) on Zr4IrPt after structural relaxation.

Unit cell a=5.498 b=5.498 c=5.498 alpha=60.00 beta=60.00 gamma=60.00
Element x y z (fractional)
Zr (0.873, 0.376, 0.376)
Zr (0.376, 0.376, 0.873)
Zr (0.376, 0.873, 0.376)
Zr (0.376, 0.376, 0.376)
Ir (0.750, 0.750, 0.750)
Pt (0.000, 0.000, 0.000)

Calculated values
SG	F-43m
energy relative to the lowest polymorph listed for this composition	879.1	meV/atom



Entry 5:
VASP calculation (GGA-PBE) on ZrIrPt2 after structural relaxation.

Unit cell a=4.577 b=4.577 c=4.577 alpha=60.00 beta=60.00 gamma=60.00
Element x y z (fractional)
Ir (0.500, 0.500, 0.500)
Zr (0.000, 0.000, 0.000)
Pt (0.250, 0.250, 0.250)
Pt (0.750, 0.750, 0.750)

Calculated values
SG	Fm-3m
energy	-0.2882	Ha/atom



Entry 6:
VASP calculation (GGA-PBE) on Zr4IrPt after structural relaxation.

Unit cell a=5.590 b=6.623 c=6.623 alpha=90.00 beta=90.00 gamma=90.00
Element x y z (fractional)
Zr (0.000, 0.167, 0.659)
Zr (0.000, 0.833, 0.341)
Zr (0.000, 0.341, 0.167)
Zr (0.000, 0.659, 0.833)
Zr (0.500, 0.833, 0.659)
Zr (0.500, 0.167, 0.341)
Zr (0.500, 0.659, 0.167)
Zr (0.500, 0.341, 0.833)
Ir (0.250, 0.500, 0.500)
Ir (0.750, 0.500, 0.500)
Pt (0.250, 0.000, 0.000)
Pt (0.750, 0.000, 0.000)

Calculated values
SG	P4/mcc
energy relative to the lowest polymorph listed for this composition	0.0	meV/atom



Number 1: total moment 0.0 μB/cell. Number 2: total moment 0.0 μB/cell. Number 3: total moment 0.0 μB/cell. Number 4: total moment 0.0 μB/cell. Number 5: total moment 0.0 μB/cell. Number 6: total moment 0.0 μB/cell.